#P
Density functional theory data (GGA-PBEsol) for a relaxed Nb3HgRh crystal.

Cell lengths 4.917, 4.917, 4.917 Å; angles 90.00, 90.00, 90.00 degrees
Positions (direct):
Nb 0.000 0.500 0.000
Nb 0.000 0.000 0.500
Nb 0.500 0.000 0.000
Rh 0.500 0.500 0.500
Hg 0.000 0.000 0.000

Calculated values
* space-group type: No. 221

---

#Q
Density functional theory data (GGA-PBEsol) for a relaxed Nb3HgRh crystal.

Cell lengths 4.765, 4.765, 4.765 Å; angles 90.00, 90.00, 90.00 degrees
Positions (direct):
Nb 0.000 0.500 0.000
Nb 0.000 0.000 0.500
Nb 0.500 0.000 0.000
Rh 0.000 0.000 0.000
Hg 0.500 0.500 0.500

Calculated values
* space-group type: No. 221

---

Result of the stability comparison: #P is the least stable of them.

---

#P
Density functional theory data (GGA-PBEsol) for a relaxed NiHg3 crystal.

Cell lengths 4.104, 4.104, 5.209 Å; angles 113.20, 113.20, 90.00 degrees
Positions (direct):
Hg 0.750 0.250 0.500
Hg 0.500 0.500 0.000
Hg 0.250 0.750 0.500
Ni 0.000 0.000 0.000

Calculated values
* space-group type: No. 139

---

#Q
Density functional theory data (GGA-PBEsol) for a relaxed NiHg3 crystal.

Cell lengths 2.979, 2.979, 8.466 Å; angles 90.00, 90.00, 90.00 degrees
Positions (direct):
Hg 0.000 0.000 0.800
Hg 0.000 0.000 0.200
Hg 0.500 0.500 0.500
Ni 0.500 0.500 0.000

Calculated values
* space-group type: No. 123

---

Result of the stability comparison: #P is the least stable of them.

---

#P
Density functional theory data (GGA-PBEsol) for a relaxed NiHg2Os crystal.

Cell lengths 2.812, 3.812, 6.558 Å; angles 90.00, 115.28, 90.00 degrees
Positions (direct):
Hg 0.761 0.000 0.761
Hg 0.239 0.000 0.239
Ni 0.500 0.500 0.000
Os 0.000 0.500 0.500

Calculated values
* space-group type: No. 10

---

#Q
Density functional theory data (GGA-PBEsol) for a relaxed NiHg2Os crystal.

Cell lengths 4.501, 4.501, 4.501 Å; angles 60.00, 60.00, 60.00 degrees
Positions (direct):
Hg 0.000 0.000 0.000
Hg 0.750 0.750 0.750
Ni 0.500 0.500 0.500
Os 0.250 0.250 0.250

Calculated values
* space-group type: No. 216

---

#R
Density functional theory data (GGA-PBEsol) for a relaxed NiHg2Os crystal.

Cell lengths 2.791, 4.743, 5.639 Å; angles 114.87, 104.33, 90.00 degrees
Positions (direct):
Hg 0.011 0.011 0.022
Hg 0.229 0.729 0.458
Ni 0.483 0.483 0.965
Os 0.777 0.277 0.554

Calculated values
* space-group type: No. 44

---

Result of the stability comparison: #Q is the least stable of them.